[1]
## La3HoEr6 (PBE-GGA)

Data for La3HoEr6 after structural relaxation.

abc: 11.047 19.028 6.300
angles: 90.00 90.00 90.00
Space group Cmc2_1 (No. 36)
Symmetry-distinct sites (fractional):
La: 0.000 0.111 0.000 (multiplicity 4)
La: 0.173 0.387 0.600 (multiplicity 8)
Ho: 0.000 0.302 0.938 (multiplicity 4)
Er: 0.000 0.224 0.426 (multiplicity 4)
Er: 0.000 0.460 0.177 (multiplicity 4)
Er: 0.167 0.047 0.522 (multiplicity 8)
Er: 0.244 0.211 0.695 (multiplicity 8)

Output
* formation enthalpy at 0 K: 0.16 eV/atom
* crystal system: orthorhombic
* volume: 33.11 A^3/atom

[2]
## LaZn2Co (PBE-GGA)

Data for LaZn2Co after structural relaxation.

abc: 4.522 4.522 17.222
angles: 90.00 90.00 90.00
Space group I-42d (No. 122)
Symmetry-distinct sites (fractional):
La: 0.000 0.000 0.000 (multiplicity 4)
Zn: 0.039 0.250 0.625 (multiplicity 8)
Co: 0.000 0.000 0.500 (multiplicity 4)

Output
* formation enthalpy at 0 K: 0.05 eV/atom
* crystal system: tetragonal
* volume: 22.01 A^3/atom

[3]
## Pa2CoP3Ir4 (PBE-GGA)

Data for Pa2CoP3Ir4 after structural relaxation.

abc: 3.960 3.960 10.380
angles: 90.00 90.00 90.00
Space group P-4m2 (No. 115)
Symmetry-distinct sites (fractional):
Pa: 0.000 0.500 0.242 (multiplicity 2)
Co: 0.500 0.500 0.000 (multiplicity 1)
P: 0.000 0.000 0.000 (multiplicity 1)
P: 0.000 0.500 0.632 (multiplicity 2)
Ir: 0.000 0.000 0.500 (multiplicity 1)
Ir: 0.000 0.500 0.849 (multiplicity 2)
Ir: 0.500 0.500 0.500 (multiplicity 1)

Output
* formation enthalpy at 0 K: -0.79 eV/atom
* crystal system: tetragonal
* volume: 16.28 A^3/atom

[4]
## TeS2IN (PBE-GGA)

Data for TeS2IN after structural relaxation.

abc: 5.265 5.265 3.973
angles: 90.00 90.00 90.00
Space group P4/mmm (No. 123)
Symmetry-distinct sites (fractional):
Te: 0.000 0.000 0.000 (multiplicity 1)
S: 0.000 0.500 0.000 (multiplicity 2)
I: 0.500 0.500 0.500 (multiplicity 1)
N: 0.000 0.000 0.500 (multiplicity 1)

Output
* formation energy (no corrections): 5.55 eV/f.u.
* crystal system: tetragonal
* volume: 22.02 A^3/atom

[5]
## CuH3S (PBE-GGA)

Data for CuH3S after structural relaxation.

abc: 3.503 3.503 3.503
angles: 90.00 90.00 90.00
Space group Pm-3m (No. 221)
Symmetry-distinct sites (fractional):
Cu: 0.000 0.000 0.000 (multiplicity 1)
H: 0.000 0.500 0.500 (multiplicity 3)
S: 0.500 0.500 0.500 (multiplicity 1)

Output
* crystal system: cubic
* volume: 8.60 A^3/atom
* E: -2.79 eV per atom

[6]
## ZnPt2W (PBE-GGA)

Data for ZnPt2W after structural relaxation.

abc: 6.252 6.252 6.252
angles: 90.00 90.00 90.00
Space group F-43m (No. 216)
Symmetry-distinct sites (fractional):
Zn: 0.000 0.000 0.000 (multiplicity 4)
Pt: 0.000 0.000 0.500 (multiplicity 4)
Pt: 0.250 0.250 0.250 (multiplicity 4)
W: 0.250 0.250 0.750 (multiplicity 4)

Output
* formation enthalpy at 0 K: -0.04 eV/atom
* crystal system: cubic
* volume: 15.28 A^3/atom

Question: Which value of volume does entry 6 give?
Answer: 15.28 A^3/atom

Question: Which formula does entry 2 have?
Answer: LaZn2Co